# 1
## Pm6AlGa5 (PBE-GGA)

Data for a geometry-optimized Pm6AlGa5 structure.

Properties
D(E_F): 0.384 states/eV/atom
VASP energy: -4.482 eV per atom
Formation enthalpy at 0 K: -618 kJ/mol of formula units
Symmetry: Cmmm (65)

Cell lengths 5.1878, 7.3606, 8.2067 Å; angles 90.00, 71.57, 90.00 degrees
Last column: nearest neighbours and their distance in Å.
Fractional coordinates of all 12 atoms:
Al 0.0000 0.0000 0.0000  8 Pm 3.19-3.20
Ga 0.6664 0.5000 0.6672  8 Pm 3.17-3.18
Ga 0.0000 0.5000 0.0000  8 Pm 3.17-3.20
Pm 0.8321 0.2504 0.3358  7 Ga 3.17-3.20, 1 Al 3.20
Pm 0.5000 0.7472 0.0000  6 Ga 3.17, 2 Al 3.19
Pm 0.5000 0.2528 0.0000  6 Ga 3.17, 2 Al 3.19
Ga 0.3336 0.5000 0.3328  8 Pm 3.17-3.18
Pm 0.1679 0.2504 0.6642  7 Ga 3.17-3.20, 1 Al 3.20
Pm 0.8321 0.7496 0.3358  7 Ga 3.17-3.20, 1 Al 3.20
Ga 0.3354 0.0000 0.3293  8 Pm 3.17-3.19
Ga 0.6646 0.0000 0.6707  8 Pm 3.17-3.19
Pm 0.1679 0.7496 0.6642  7 Ga 3.17-3.20, 1 Al 3.20



# 2
## Pm4AlGa12 (PBE-GGA)

Data for a geometry-optimized Pm4AlGa12 structure.

Properties
D(E_F): 0.310 states/eV/atom
VASP energy: -3.989 eV per atom
Formation enthalpy at 0 K: -843 kJ/mol of formula units
Symmetry: Im-3m (229)

Cell lengths 7.6683, 7.6683, 7.6683 Å; angles 109.47, 109.47, 109.47 degrees
Last column: nearest neighbours and their distance in Å.
Fractional coordinates of all 17 atoms:
Pm 0.0000 0.5000 0.0000  12 Ga 3.13-3.17
Ga 0.7500 0.5000 0.2500  4 Ga 2.79
Ga 0.2500 0.7500 0.5000  4 Ga 2.79
Ga 0.0000 0.6926 0.6926  1 Al 2.72, 4 Ga 2.79
Ga 0.0000 0.3074 0.3074  1 Al 2.72, 4 Ga 2.79
Ga 0.6926 0.0000 0.6926  1 Al 2.72, 4 Ga 2.79
Ga 0.5000 0.7500 0.2500  4 Ga 2.79
Ga 0.7500 0.2500 0.5000  4 Ga 2.79
Ga 0.6926 0.6926 0.0000  1 Al 2.72, 4 Ga 2.79
Pm 0.5000 0.0000 0.0000  12 Ga 3.13-3.17
Pm 0.0000 0.0000 0.5000  12 Ga 3.13-3.17
Al 0.0000 0.0000 0.0000  6 Ga 2.72
Ga 0.3074 0.3074 0.0000  1 Al 2.72, 4 Ga 2.79
Ga 0.3074 0.0000 0.3074  1 Al 2.72, 4 Ga 2.79
Ga 0.2500 0.5000 0.7500  4 Ga 2.79
Ga 0.5000 0.2500 0.7500  4 Ga 2.79
Pm 0.5000 0.5000 0.5000  12 Ga 3.13-3.17



# 3
## Pm6Al2Ga (PBE-GGA)

Data for a geometry-optimized Pm6Al2Ga structure.

Properties
D(E_F): 1.092 states/eV/atom
VASP energy: -4.599 eV per atom
Formation enthalpy at 0 K: -229 kJ/mol of formula units
Excess energy over the best structure of this formula in the dataset: 0 meV per atom
Symmetry: Immm (71)

Cell lengths 8.8178, 8.8178, 8.8178 Å; angles 109.21, 110.05, 109.16 degrees
Last column: nearest neighbours and their distance in Å.
Fractional coordinates of all 18 atoms:
Pm 0.9137 0.7392 0.1745  1 Ga 3.20, 3 Al 3.28-3.29, 1 Pm 3.53
Pm 0.1967 0.2550 0.4517  2 Al 3.11-3.29, 2 Ga 3.20-3.28
Pm 0.2799 0.9526 0.6727  3 Al 3.04-3.17, 1 Ga 3.36
Pm 0.8033 0.2550 0.0583  2 Al 3.11-3.29, 2 Ga 3.20-3.28
Al 0.5000 0.6274 0.1274  1 Al 2.60
Pm 0.0863 0.2608 0.8255  1 Ga 3.20, 3 Al 3.28-3.29, 1 Pm 3.53
Pm 0.2799 0.6073 0.3273  3 Al 3.04-3.17, 1 Ga 3.36
Ga 0.0000 0.0000 0.0000  8 Pm 3.20-3.28
Ga 0.0000 0.5000 0.5000  8 Pm 3.20-3.36
Pm 0.8033 0.7450 0.5483  2 Al 3.11-3.29, 2 Ga 3.20-3.28
Al 0.5000 0.3726 0.8726  1 Al 2.60
Pm 0.7201 0.3927 0.6727  3 Al 3.04-3.17, 1 Ga 3.36
Pm 0.5646 0.7392 0.8255  1 Ga 3.20, 3 Al 3.28-3.29, 1 Pm 3.53
Al 0.3652 0.0000 0.3652  1 Al 2.73
Al 0.6348 0.0000 0.6348  1 Al 2.73
Pm 0.4354 0.2608 0.1745  1 Ga 3.20, 3 Al 3.28-3.29, 1 Pm 3.53
Pm 0.7201 0.0474 0.3273  3 Al 3.04-3.17, 1 Ga 3.36
Pm 0.1967 0.7450 0.9417  2 Al 3.11-3.29, 2 Ga 3.20-3.28